1.
A geometry-optimized HoTaMnSi2 structure, computed with PBE.

- M_tot: 1.223 μB/cell
- Formation energy from raw total energies: -0.549 eV per atom

a b c (Å): 6.239 6.239 6.239
angles (deg): 143.43 143.43 52.68
Sites, in units of the cell vectors:
Ho: 0.000 0.000 0.000
Ta: 0.250 0.750 0.500
Mn: 0.750 0.250 0.500
Si: 0.393 0.393 0.000
Si: 0.607 0.607 0.000

***

2.
A geometry-optimized HoMnSi3Tc structure, computed with PBE.

- M_tot: 0.000 μB/cell
- Formation energy from raw total energies: -0.272 eV per atom

a b c (Å): 6.477 6.477 5.462
angles (deg): 90.00 90.00 109.16
Sites, in units of the cell vectors:
Ho: 0.243 0.757 0.750
Ho: 0.757 0.243 0.250
Mn: 0.038 0.962 0.250
Mn: 0.962 0.038 0.750
Si: 0.239 0.761 0.250
Si: 0.241 0.241 0.000
Si: 0.241 0.241 0.500
Si: 0.759 0.759 0.000
Si: 0.759 0.759 0.500
Si: 0.761 0.239 0.750
Tc: 0.452 0.548 0.250
Tc: 0.548 0.452 0.750

***

3.
A geometry-optimized SmHo2Mn structure, computed with PBE.

- E_form: 0.118 eV/atom
- M_tot: 3.359 μB/cell
- E above lowest polymorph: 0 kJ/mol of formula units

a b c (Å): 3.525 3.525 8.737
angles (deg): 90.00 90.00 90.00
Sites, in units of the cell vectors:
Sm: 0.000 0.000 0.000
Ho: 0.500 0.500 0.304
Ho: 0.500 0.500 0.696
Mn: 0.000 0.000 0.500

***

4.
A geometry-optimized SmHoMn structure, computed with PBE.

- E_form: 0.176 eV/atom
- M_tot: 2.759 μB/cell

a b c (Å): 6.856 6.856 6.856
angles (deg): 150.30 150.30 42.50
Sites, in units of the cell vectors:
Sm: 0.000 0.000 0.000
Ho: 0.273 0.273 0.000
Mn: 0.641 0.641 0.000

***

5.
A geometry-optimized SmHo3Mn structure, computed with PBE.

- E_form: 0.225 eV/atom
- M_tot: 0.476 μB/cell

a b c (Å): 5.296 5.296 5.296
angles (deg): 90.00 90.00 90.00
Sites, in units of the cell vectors:
Sm: 0.000 0.000 0.000
Ho: 0.000 0.500 0.500
Ho: 0.500 0.000 0.500
Ho: 0.500 0.500 0.000
Mn: 0.500 0.500 0.500

***

6.
A geometry-optimized SmHo2Mn structure, computed with PBE.

- E_form: 0.519 eV/atom
- M_tot: 3.064 μB/cell
- E above lowest polymorph: 155 kJ/mol of formula units

a b c (Å): 11.503 11.503 11.503
angles (deg): 17.00 17.00 17.00
Sites, in units of the cell vectors:
Sm: 0.000 0.000 0.000
Ho: 0.419 0.419 0.419
Ho: 0.581 0.581 0.581
Mn: 0.500 0.500 0.500

***

7.
A geometry-optimized SmHoMnTl structure, computed with PBE.

- E_form: -0.009 eV/atom
- M_tot: 3.343 μB/cell

a b c (Å): 5.260 5.260 5.260
angles (deg): 60.00 60.00 60.00
Sites, in units of the cell vectors:
Sm: 0.000 0.000 0.000
Ho: 0.500 0.500 0.500
Mn: 0.250 0.250 0.250
Tl: 0.750 0.750 0.750

***

8.
A geometry-optimized HoMnSn2 structure, computed with PBE.

- E_form: 0.634 eV/atom
- M_tot: 4.043 μB/cell

a b c (Å): 7.695 7.695 7.695
angles (deg): 38.55 38.55 38.55
Sites, in units of the cell vectors:
Ho: 0.000 0.000 0.000
Mn: 0.500 0.500 0.500
Sn: 0.376 0.376 0.376
Sn: 0.624 0.624 0.624